(i)
{"formula": "La2DyPd", "functional": "PBE", "state": "relaxed", "space_group": "No. 123", "dos_at_fermi_per_ev_atom": 1.40, "lattice_angstrom": [[3.781, 0.000, 0.000], [0.000, 3.781, 0.000], [0.000, 0.000, 8.314]], "species": ["La", "La", "Dy", "Pd"], "frac_coords": [[0.000, 0.000, 0.207], [0.000, 0.000, 0.793], [0.500, 0.500, 0.500], [0.500, 0.500, 0.000]]}

(ii)
{"formula": "La2DyPd", "functional": "PBE", "state": "relaxed", "space_group": "No. 62", "dos_at_fermi_per_ev_atom": 1.20, "lattice_angstrom": [[7.252, 0.000, 0.000], [0.000, 10.327, 0.000], [0.000, 0.000, 6.573]], "species": ["La", "La", "La", "La", "La", "La", "La", "La", "Dy", "Dy", "Dy", "Dy", "Pd", "Pd", "Pd", "Pd"], "frac_coords": [[0.180, 0.061, 0.169], [0.180, 0.439, 0.169], [0.320, 0.561, 0.669], [0.320, 0.939, 0.669], [0.680, 0.061, 0.331], [0.680, 0.439, 0.331], [0.820, 0.561, 0.831], [0.820, 0.939, 0.831], [0.030, 0.250, 0.656], [0.470, 0.750, 0.156], [0.530, 0.250, 0.844], [0.970, 0.750, 0.344], [0.121, 0.750, 0.936], [0.379, 0.250, 0.436], [0.621, 0.750, 0.564], [0.879, 0.250, 0.064]]}

How far above the most stable structure does each one sit? In eV/atom: (i) 0.094; (ii) 0.000.

(i)
{"formula": "LaDyPdRh", "functional": "PBE", "state": "relaxed", "space_group": "No. 216", "dos_at_fermi_per_ev_atom": 0.77, "lattice_angstrom": [[7.107, 0.000, 0.000], [0.000, 7.107, 0.000], [0.000, 0.000, 7.107]], "species": ["La", "La", "La", "La", "Dy", "Dy", "Dy", "Dy", "Pd", "Pd", "Pd", "Pd", "Rh", "Rh", "Rh", "Rh"], "frac_coords": [[0.000, 0.000, 0.000], [0.000, 0.500, 0.500], [0.500, 0.000, 0.500], [0.500, 0.500, 0.000], [0.000, 0.000, 0.500], [0.000, 0.500, 0.000], [0.500, 0.000, 0.000], [0.500, 0.500, 0.500], [0.250, 0.250, 0.250], [0.250, 0.750, 0.750], [0.750, 0.250, 0.750], [0.750, 0.750, 0.250], [0.250, 0.250, 0.750], [0.250, 0.750, 0.250], [0.750, 0.250, 0.250], [0.750, 0.750, 0.750]]}

(ii)
{"formula": "LaDyPdRh", "functional": "PBE", "state": "relaxed", "space_group": "No. 38", "dos_at_fermi_per_ev_atom": 0.63, "lattice_angstrom": [[4.558, 0.000, 0.000], [0.000, 3.815, 0.000], [0.000, 0.000, 10.657]], "species": ["La", "La", "Dy", "Dy", "Pd", "Pd", "Rh", "Rh"], "frac_coords": [[0.000, 0.000, 0.000], [0.000, 0.500, 0.500], [0.500, 0.000, 0.279], [0.500, 0.500, 0.779], [0.500, 0.000, 0.563], [0.500, 0.500, 0.063], [0.000, 0.000, 0.741], [0.000, 0.500, 0.241]]}

How far above the most stable structure does each one sit? In eV/atom: (i) 0.061; (ii) 0.000.

(i)
{"formula": "LaDyZnPd", "functional": "PBE", "state": "relaxed", "space_group": "No. 38", "dos_at_fermi_per_ev_atom": 0.97, "lattice_angstrom": [[4.602, 0.000, 0.000], [0.000, 3.945, 0.000], [0.000, 0.000, 10.941]], "species": ["La", "La", "Dy", "Dy", "Zn", "Zn", "Pd", "Pd"], "frac_coords": [[0.000, 0.000, 0.000], [0.000, 0.500, 0.500], [0.500, 0.000, 0.717], [0.500, 0.500, 0.217], [0.500, 0.000, 0.427], [0.500, 0.500, 0.927], [0.000, 0.000, 0.280], [0.000, 0.500, 0.780]]}

(ii)
{"formula": "LaDyZnPd", "functional": "PBE", "state": "relaxed", "space_group": "No. 216", "dos_at_fermi_per_ev_atom": 0.82, "lattice_angstrom": [[7.271, 0.000, 0.000], [0.000, 7.271, 0.000], [0.000, 0.000, 7.271]], "species": ["La", "La", "La", "La", "Dy", "Dy", "Dy", "Dy", "Zn", "Zn", "Zn", "Zn", "Pd", "Pd", "Pd", "Pd"], "frac_coords": [[0.000, 0.000, 0.000], [0.000, 0.500, 0.500], [0.500, 0.000, 0.500], [0.500, 0.500, 0.000], [0.000, 0.000, 0.500], [0.000, 0.500, 0.000], [0.500, 0.000, 0.000], [0.500, 0.500, 0.500], [0.250, 0.250, 0.750], [0.250, 0.750, 0.250], [0.750, 0.250, 0.250], [0.750, 0.750, 0.750], [0.250, 0.250, 0.250], [0.250, 0.750, 0.750], [0.750, 0.250, 0.750], [0.750, 0.750, 0.250]]}

How far above the most stable structure does each one sit? In eV/atom: (i) 0.000; (ii) 0.021.

(i)
{"formula": "La2Pm4Dy", "functional": "PBE", "state": "relaxed", "space_group": "No. 68", "dos_at_fermi_per_ev_atom": 1.57, "lattice_angstrom": [[6.286, -11.777, 0.000], [6.286, 11.777, 0.000], [0.000, 0.000, 6.659]], "species": ["La", "La", "La", "La", "La", "La", "La", "La", "Pm", "Pm", "Pm", "Pm", "Pm", "Pm", "Pm", "Pm", "Pm", "Pm", "Pm", "Pm", "Pm", "Pm", "Pm", "Pm", "Dy", "Dy", "Dy", "Dy"], "frac_coords": [[0.032, 0.968, 0.750], [0.111, 0.611, 0.250], [0.389, 0.889, 0.250], [0.468, 0.532, 0.750], [0.532, 0.468, 0.250], [0.611, 0.111, 0.750], [0.889, 0.389, 0.750], [0.968, 0.032, 0.250], [0.012, 0.231, 0.646], [0.043, 0.710, 0.840], [0.210, 0.543, 0.660], [0.231, 0.012, 0.146], [0.269, 0.488, 0.146], [0.290, 0.957, 0.660], [0.457, 0.790, 0.840], [0.488, 0.269, 0.646], [0.512, 0.731, 0.354], [0.543, 0.210, 0.160], [0.710, 0.043, 0.340], [0.731, 0.512, 0.854], [0.769, 0.988, 0.854], [0.790, 0.457, 0.340], [0.957, 0.290, 0.160], [0.988, 0.769, 0.354], [0.250, 0.250, 0.440], [0.250, 0.250, 0.940], [0.750, 0.750, 0.060], [0.750, 0.750, 0.560]]}

(ii)
{"formula": "La2Pm4Dy", "functional": "PBE", "state": "relaxed", "space_group": "No. 74", "dos_at_fermi_per_ev_atom": 1.53, "lattice_angstrom": [[-3.446, 5.837, 6.194], [3.446, -5.837, 6.194], [3.446, 5.837, -6.194]], "species": ["La", "La", "La", "La", "Pm", "Pm", "Pm", "Pm", "Pm", "Pm", "Pm", "Pm", "Dy", "Dy"], "frac_coords": [[0.000, 0.000, 0.000], [0.473, 0.223, 0.250], [0.500, 0.000, 0.500], [0.527, 0.777, 0.750], [0.133, 0.642, 0.491], [0.259, 0.286, 0.527], [0.259, 0.733, 0.973], [0.349, 0.358, 0.991], [0.651, 0.642, 0.009], [0.741, 0.267, 0.027], [0.741, 0.714, 0.473], [0.867, 0.358, 0.509], [0.000, 0.000, 0.500], [0.000, 0.500, 0.000]]}

How far above the most stable structure does each one sit? In eV/atom: (i) 0.000; (ii) 0.038.

(i)
{"formula": "LaPm5Dy2", "functional": "PBE", "state": "relaxed", "space_group": "No. 55", "dos_at_fermi_per_ev_atom": 1.47, "lattice_angstrom": [[7.279, 0.000, 0.000], [0.000, 14.564, 0.000], [0.000, 0.000, 5.128]], "species": ["La", "La", "Pm", "Pm", "Pm", "Pm", "Pm", "Pm", "Pm", "Pm", "Pm", "Pm", "Dy", "Dy", "Dy", "Dy"], "frac_coords": [[0.000, 0.000, 0.000], [0.500, 0.500, 0.000], [0.000, 0.500, 0.000], [0.001, 0.251, 0.000], [0.249, 0.626, 0.500], [0.251, 0.126, 0.500], [0.499, 0.751, 0.000], [0.500, 0.000, 0.000], [0.501, 0.249, 0.000], [0.749, 0.874, 0.500], [0.751, 0.374, 0.500], [0.999, 0.749, 0.000], [0.249, 0.874, 0.500], [0.251, 0.374, 0.500], [0.749, 0.626, 0.500], [0.751, 0.126, 0.500]]}

(ii)
{"formula": "LaPm5Dy2", "functional": "PBE", "state": "relaxed", "space_group": "No. 15", "dos_at_fermi_per_ev_atom": 1.49, "lattice_angstrom": [[11.749, -3.233, 0.000], [11.749, 3.233, 0.000], [-10.298, 0.000, 14.474]], "species": ["La", "La", "La", "La", "Pm", "Pm", "Pm", "Pm", "Pm", "Pm", "Pm", "Pm", "Pm", "Pm", "Pm", "Pm", "Pm", "Pm", "Pm", "Pm", "Pm", "Pm", "Pm", "Pm", "Dy", "Dy", "Dy", "Dy", "Dy", "Dy", "Dy", "Dy"], "frac_coords": [[0.035, 0.731, 0.885], [0.269, 0.965, 0.615], [0.731, 0.035, 0.385], [0.965, 0.269, 0.115], [0.029, 0.930, 0.140], [0.070, 0.971, 0.360], [0.142, 0.188, 0.836], [0.159, 0.432, 0.282], [0.188, 0.142, 0.336], [0.266, 0.427, 0.033], [0.275, 0.619, 0.483], [0.381, 0.725, 0.017], [0.427, 0.266, 0.533], [0.432, 0.159, 0.782], [0.568, 0.841, 0.218], [0.573, 0.734, 0.467], [0.619, 0.275, 0.983], [0.725, 0.381, 0.517], [0.734, 0.573, 0.967], [0.812, 0.858, 0.664], [0.841, 0.568, 0.718], [0.858, 0.812, 0.164], [0.930, 0.029, 0.640], [0.971, 0.070, 0.860], [0.134, 0.312, 0.561], [0.312, 0.134, 0.061], [0.397, 0.472, 0.771], [0.472, 0.397, 0.271], [0.528, 0.603, 0.729], [0.603, 0.528, 0.229], [0.688, 0.866, 0.939], [0.866, 0.688, 0.439]]}

How far above the most stable structure does each one sit? In eV/atom: (i) 0.000; (ii) 0.090.

(i)
{"formula": "La4PmDy", "functional": "PBE", "state": "relaxed", "space_group": "No. 65", "dos_at_fermi_per_ev_atom": 1.99, "lattice_angstrom": [[6.144, 0.000, 0.000], [0.000, 11.367, 0.000], [0.000, 0.000, 6.134]], "species": ["La", "La", "La", "La", "La", "La", "La", "La", "Pm", "Pm", "Dy", "Dy"], "frac_coords": [[0.000, 0.158, 0.000], [0.000, 0.342, 0.500], [0.000, 0.658, 0.500], [0.000, 0.842, 0.000], [0.500, 0.158, 0.500], [0.500, 0.342, 0.000], [0.500, 0.658, 0.000], [0.500, 0.842, 0.500], [0.000, 0.000, 0.500], [0.500, 0.500, 0.500], [0.000, 0.500, 0.000], [0.500, 0.000, 0.000]]}

(ii)
{"formula": "La4PmDy", "functional": "PBE", "state": "relaxed", "space_group": "No. 47", "dos_at_fermi_per_ev_atom": 1.73, "lattice_angstrom": [[3.678, 0.000, 0.000], [0.000, 5.244, 0.000], [0.000, 0.000, 11.024]], "species": ["La", "La", "La", "La", "Pm", "Dy"], "frac_coords": [[0.000, 0.000, 0.168], [0.000, 0.000, 0.832], [0.500, 0.500, 0.328], [0.500, 0.500, 0.672], [0.000, 0.000, 0.500], [0.500, 0.500, 0.000]]}

How far above the most stable structure does each one sit? In eV/atom: (i) 0.078; (ii) 0.000.

(i)
{"formula": "La12PmDy7", "functional": "PBE", "state": "relaxed", "space_group": "No. 148", "dos_at_fermi_per_ev_atom": 1.35, "lattice_angstrom": [[9.807, 5.662, 2.128], [-9.807, 5.662, 2.128], [0.000, -11.324, 2.128]], "species": ["La", "La", "La", "La", "La", "La", "La", "La", "La", "La", "La", "La", "Pm", "Dy", "Dy", "Dy", "Dy", "Dy", "Dy", "Dy"], "frac_coords": [[0.075, 0.430, 0.431], [0.092, 0.499, 0.907], [0.093, 0.908, 0.501], [0.430, 0.431, 0.075], [0.431, 0.075, 0.430], [0.499, 0.907, 0.092], [0.501, 0.093, 0.908], [0.569, 0.925, 0.570], [0.570, 0.569, 0.925], [0.907, 0.092, 0.499], [0.908, 0.501, 0.093], [0.925, 0.570, 0.569], [0.000, 0.000, 0.000], [0.115, 0.115, 0.364], [0.115, 0.364, 0.115], [0.364, 0.115, 0.115], [0.500, 0.500, 0.500], [0.636, 0.885, 0.885], [0.885, 0.636, 0.885], [0.885, 0.885, 0.636]]}

(ii)
{"formula": "La12PmDy7", "functional": "PBE", "state": "relaxed", "space_group": "No. 166", "dos_at_fermi_per_ev_atom": 1.70, "lattice_angstrom": [[6.848, 3.954, 4.307], [-6.848, 3.954, 4.307], [0.000, -7.907, 4.307]], "species": ["La", "La", "La", "La", "La", "La", "La", "La", "La", "La", "La", "La", "Pm", "Dy", "Dy", "Dy", "Dy", "Dy", "Dy", "Dy"], "frac_coords": [[0.000, 0.260, 0.740], [0.000, 0.740, 0.260], [0.145, 0.145, 0.412], [0.145, 0.412, 0.145], [0.260, 0.000, 0.740], [0.260, 0.740, 0.000], [0.412, 0.145, 0.145], [0.588, 0.855, 0.855], [0.740, 0.000, 0.260], [0.740, 0.260, 0.000], [0.855, 0.588, 0.855], [0.855, 0.855, 0.588], [0.500, 0.500, 0.500], [0.000, 0.000, 0.000], [0.164, 0.594, 0.594], [0.406, 0.406, 0.836], [0.406, 0.836, 0.406], [0.594, 0.164, 0.594], [0.594, 0.594, 0.164], [0.836, 0.406, 0.406]]}

How far above the most stable structure does each one sit? In eV/atom: (i) 0.113; (ii) 0.000.

(i)
{"formula": "LaPm3Dy2", "functional": "PBE", "state": "relaxed", "space_group": "No. 15", "dos_at_fermi_per_ev_atom": 1.38, "lattice_angstrom": [[3.146, -5.438, 0.000], [3.146, 5.438, 0.000], [-2.132, 0.000, 11.879]], "species": ["La", "La", "Pm", "Pm", "Pm", "Pm", "Pm", "Pm", "Dy", "Dy", "Dy", "Dy"], "frac_coords": [[0.085, 0.915, 0.750], [0.915, 0.085, 0.250], [0.166, 0.335, 0.000], [0.335, 0.166, 0.500], [0.417, 0.583, 0.750], [0.583, 0.417, 0.250], [0.665, 0.834, 0.500], [0.834, 0.665, 0.000], [0.000, 0.500, 0.500], [0.250, 0.750, 0.250], [0.500, 0.000, 0.000], [0.750, 0.250, 0.750]]}

(ii)
{"formula": "LaPm3Dy2", "functional": "PBE", "state": "relaxed", "space_group": "No. 71", "dos_at_fermi_per_ev_atom": 1.84, "lattice_angstrom": [[3.497, 0.000, 0.000], [0.000, 5.984, 0.000], [0.000, 0.000, 19.833]], "species": ["La", "La", "Pm", "Pm", "Pm", "Pm", "Pm", "Pm", "Dy", "Dy", "Dy", "Dy"], "frac_coords": [[0.000, 0.000, 0.000], [0.500, 0.500, 0.500], [0.000, 0.000, 0.193], [0.000, 0.000, 0.807], [0.000, 0.500, 0.000], [0.500, 0.000, 0.500], [0.500, 0.500, 0.307], [0.500, 0.500, 0.693], [0.000, 0.000, 0.362], [0.000, 0.000, 0.638], [0.500, 0.500, 0.138], [0.500, 0.500, 0.862]]}

How far above the most stable structure does each one sit? In eV/atom: (i) 0.000; (ii) 0.290.

(i)
{"formula": "La7PmDy4", "functional": "PBE", "state": "relaxed", "space_group": "No. 2", "dos_at_fermi_per_ev_atom": 1.65, "lattice_angstrom": [[6.437, 0.000, 0.000], [-0.003, 7.375, 0.000], [-2.122, -0.005, 8.860]], "species": ["La", "La", "La", "La", "La", "La", "La", "Pm", "Dy", "Dy", "Dy", "Dy"], "frac_coords": [[0.000, 0.000, 0.000], [0.221, 0.500, 0.667], [0.282, 0.750, 0.337], [0.498, 0.754, 0.997], [0.502, 0.246, 0.003], [0.718, 0.250, 0.663], [0.779, 0.500, 0.333], [0.000, 0.500, 0.000], [0.218, 0.000, 0.665], [0.277, 0.245, 0.332], [0.723, 0.755, 0.668], [0.782, 0.000, 0.335]]}

(ii)
{"formula": "La7PmDy4", "functional": "PBE", "state": "relaxed", "space_group": "No. 12", "dos_at_fermi_per_ev_atom": 1.73, "lattice_angstrom": [[8.210, -3.054, 0.000], [8.210, 3.054, 0.000], [-4.624, 0.000, 8.530]], "species": ["La", "La", "La", "La", "La", "La", "La", "Pm", "Dy", "Dy", "Dy", "Dy"], "frac_coords": [[0.000, 0.000, 0.000], [0.278, 0.278, 0.749], [0.287, 0.287, 0.109], [0.411, 0.411, 0.542], [0.589, 0.589, 0.458], [0.713, 0.713, 0.891], [0.722, 0.722, 0.251], [0.500, 0.500, 0.000], [0.065, 0.065, 0.702], [0.167, 0.167, 0.365], [0.833, 0.833, 0.635], [0.935, 0.935, 0.298]]}

How far above the most stable structure does each one sit? In eV/atom: (i) 0.000; (ii) 0.181.

(i)
{"formula": "La3Pm2Dy", "functional": "PBE", "state": "relaxed", "space_group": "No. 11", "dos_at_fermi_per_ev_atom": 1.73, "lattice_angstrom": [[10.403, 0.000, 0.000], [0.000, 3.681, 0.000], [-0.064, 0.000, 11.032]], "species": ["La", "La", "La", "La", "La", "La", "Pm", "Pm", "Pm", "Pm", "Dy", "Dy"], "frac_coords": [[0.123, 0.250, 0.417], [0.372, 0.750, 0.915], [0.375, 0.750, 0.250], [0.625, 0.250, 0.750], [0.628, 0.250, 0.085], [0.877, 0.750, 0.583], [0.121, 0.250, 0.083], [0.372, 0.750, 0.584], [0.628, 0.250, 0.416], [0.879, 0.750, 0.917], [0.124, 0.250, 0.750], [0.876, 0.750, 0.250]]}

(ii)
{"formula": "La3Pm2Dy", "functional": "PBE", "state": "relaxed", "space_group": "No. 72", "dos_at_fermi_per_ev_atom": 1.70, "lattice_angstrom": [[-5.668, 5.994, 3.530], [5.668, -5.994, 3.530], [5.668, 5.994, -3.530]], "species": ["La", "La", "La", "La", "La", "La", "Pm", "Pm", "Pm", "Pm", "Dy", "Dy"], "frac_coords": [[0.013, 0.750, 0.263], [0.250, 0.250, 0.000], [0.487, 0.750, 0.737], [0.513, 0.250, 0.263], [0.750, 0.750, 0.000], [0.987, 0.250, 0.737], [0.202, 0.247, 0.448], [0.298, 0.747, 0.045], [0.702, 0.253, 0.955], [0.798, 0.753, 0.552], [0.000, 0.500, 0.500], [0.500, 0.000, 0.500]]}

How far above the most stable structure does each one sit? In eV/atom: (i) 0.000; (ii) 0.513.